(1)
Pm4Bi2N: relaxed, PBE.

abc: 6.6036 6.6036 8.5481
angles: 113.50 113.50 34.96
Fractional positions:
Pm  0.0529  0.0529  0.3140
Pm  0.3597  0.3597  0.9495
Pm  0.6403  0.6403  0.0505
Pm  0.9471  0.9471  0.6860
Bi  0.3387  0.3387  0.3259
Bi  0.6613  0.6613  0.6741
N  0.0000  0.0000  0.0000

Energy relative to the lowest polymorph listed for this composition: 50.4 meV per atom
N(E_F): 5.493 states/eV per cell
SG: C2/m
E_tot: -5.8819 eV/atom

---

(2)
Pm2Bi2N: relaxed, PBE.

abc: 7.9342 7.9342 7.9342
angles: 118.60 79.02 135.38
Fractional positions:
Pm  0.0929  0.1609  0.2538
Pm  0.4071  0.6609  0.0681
Pm  0.5929  0.3391  0.9319
Pm  0.9071  0.8391  0.7462
Bi  0.1379  0.5744  0.7123
Bi  0.3621  0.0744  0.4364
Bi  0.6379  0.9256  0.5636
Bi  0.8621  0.4256  0.2877
N  0.2500  0.2500  0.0000
N  0.7500  0.7500  0.0000

N(E_F): 3.152 states/eV per cell
SG: Ibam
E_tot: -5.9672 eV/atom

---

(3)
Pm5Bi2N2: relaxed, PBE.

abc: 9.1920 8.3880 5.7794
angles: 78.54 63.42 38.04
Fractional positions:
Pm  0.0000  0.0000  0.0000
Pm  0.2117  0.5710  0.4290
Pm  0.4290  0.7883  0.2117
Pm  0.5710  0.2117  0.7883
Pm  0.7883  0.4290  0.5710
Bi  0.1988  0.1988  0.8012
Bi  0.8012  0.8012  0.1988
N  0.0000  0.0000  0.5000
N  0.5000  0.5000  0.0000

N(E_F): 5.413 states/eV per cell
SG: Fmmm
E_tot: -6.2362 eV/atom

---

(4)
Pm7Bi3N2: relaxed, PBE.

abc: 13.0419 13.0419 4.9032
angles: 90.00 90.00 157.85
Fractional positions:
Pm  0.0000  0.0000  0.0000
Pm  0.0935  0.9065  0.5000
Pm  0.1951  0.8049  0.0000
Pm  0.4046  0.5954  0.0000
Pm  0.5954  0.4046  0.0000
Pm  0.8049  0.1951  0.0000
Pm  0.9065  0.0935  0.5000
Bi  0.3097  0.6903  0.5000
Bi  0.5000  0.5000  0.5000
Bi  0.6903  0.3097  0.5000
N  0.1017  0.8983  0.0000
N  0.8983  0.1017  0.0000

N(E_F): 7.933 states/eV per cell
SG: Cmmm
E_tot: -6.0268 eV/atom